VASP calculation (PBE+U) on a relaxed structure of Li2PrCoF8.

Electronic total energy in eV/atom: -5.28
Magnetization in μB/cell: 2.0

a = 4.485 Å, b = 5.017 Å, c = 7.116 Å
α = 88.24°, β = 88.62°, γ = 79.73°
Fractional coordinates of all 12 atoms:
Li 0.096 0.088 0.222
Li 0.904 0.912 0.778
Pr 0.500 0.500 0.500
Co 0.500 0.500 0.000
F 0.144 0.228 0.463
F 0.230 0.276 0.006
F 0.298 0.729 0.224
F 0.311 0.712 0.792
F 0.689 0.288 0.208
F 0.702 0.271 0.776
F 0.770 0.724 0.994
F 0.856 0.772 0.537